No. 1
A plane-wave DFT calculation with PBE-GGA was carried out for a relaxed structure of Er2IrPd.

Computed properties:
E_form = -369 kJ/mol of formula units
VASP energy = -6.75 eV/atom
Fermi-level density of states = 1.1 states/eV/f.u.
crystal system = cubic
distance to the lowest polymorph of the same formula = 0 meV/atom

Structure (POSCAR):
```
Er2IrPd
1.0
-4.559 -0.729 -1.495
-1.496 -4.476 -1.131
-3.158 -2.303 2.877
Er Ir Pd
2 1 1
direct
0.750 0.750 0.750 Er
0.250 0.250 0.250 Er
0.500 0.500 0.500 Ir
0.000 0.000 0.000 Pd
```

No. 2
A plane-wave DFT calculation with PBE-GGA was carried out for a relaxed structure of CaThRuPt.

Computed properties:
E_form = -216 kJ/mol of formula units
VASP energy = -6.74 eV/atom
Fermi-level density of states = 3.6 states/eV/f.u.
crystal system = cubic

Structure (POSCAR):
```
CaThRuPt
1.0
4.969 0.000 0.000
2.485 4.303 0.000
2.485 1.434 4.057
Pt Th Ca Ru
1 1 1 1
direct
0.500 0.500 0.500 Pt
0.250 0.250 0.250 Th
0.750 0.750 0.750 Ca
0.000 0.000 0.000 Ru
```

No. 3
A plane-wave DFT calculation with PBE-GGA was carried out for a relaxed structure of ScRe2Sb.

Computed properties:
VASP energy = -8.56 eV/atom
Fermi-level density of states = 2.7 states/eV/f.u.
crystal system = trigonal

Structure (POSCAR):
```
ScRe2Sb
1.0
-3.896 4.391 6.878
-1.675 2.822 8.426
-0.997 5.556 7.064
Sb Re Sc
1 2 1
direct
0.504 0.504 0.504 Sb
0.259 0.259 0.259 Re
0.994 0.994 0.994 Re
0.743 0.743 0.743 Sc
```

No. 4
A plane-wave DFT calculation with PBE-GGA was carried out for a relaxed structure of Ca2SiP.

Computed properties:
VASP energy = -4.08 eV/atom
Fermi-level density of states = 2.7 states/eV/f.u.
crystal system = trigonal
distance to the lowest polymorph of the same formula = 181 meV/atom

Structure (POSCAR):
```
Ca2SiP
1.0
8.666 -0.008 -0.005
7.854 3.662 -0.005
7.854 1.737 3.224
Ca P Si
2 1 1
direct
0.510 0.510 0.510 Ca
0.990 0.990 0.990 Ca
0.250 0.250 0.250 P
0.750 0.750 0.750 Si
```

No. 5
A plane-wave DFT calculation with PBE-GGA was carried out for a relaxed structure of CeZr2H7.

Computed properties:
VASP energy = -5.18 eV/atom
Fermi-level density of states = 7.6 states/eV/f.u.
crystal system = tetragonal

Structure (POSCAR):
```
CeZr2H7
1.0
-2.027 -0.251 -2.748
-0.069 -3.404 0.362
-5.431 2.459 5.914
H Zr Ce
7 2 1
direct
0.103 0.603 0.207 H
0.750 0.250 0.500 H
0.500 0.500 0.000 H
0.397 0.897 0.793 H
0.603 0.103 0.207 H
0.897 0.397 0.793 H
0.250 0.750 0.500 H
0.675 0.675 0.350 Zr
0.325 0.325 0.650 Zr
0.000 0.000 0.000 Ce
```

No. 6
A plane-wave DFT calculation with PBE-GGA was carried out for a relaxed structure of CrSiP2.

Computed properties:
VASP energy = -6.25 eV/atom
Fermi-level density of states = 2.4 states/eV/f.u.
crystal system = monoclinic

Structure (POSCAR):
```
CrSiP2
1.0
-3.571 -1.834 1.556
3.096 1.167 3.289
-1.739 2.645 2.401
P Si Cr
2 1 1
direct
0.000 0.000 0.000 P
0.000 0.500 0.500 P
0.500 0.500 0.000 Si
0.500 0.000 0.500 Cr
```

No. 7
A plane-wave DFT calculation with PBE-GGA was carried out for a relaxed structure of SrLa2Mn.

Computed properties:
E_form = 80 kJ/mol of formula units
VASP energy = -4.97 eV/atom
Fermi-level density of states = 6.0 states/eV/f.u.
crystal system = tetragonal
distance to the lowest polymorph of the same formula = 0 meV/atom

Structure (POSCAR):
```
SrLa2Mn
1.0
-1.132 1.809 3.087
-3.207 -1.949 -0.034
4.236 -7.071 5.699
La Sr Mn
2 1 1
direct
0.000 0.000 0.075 La
0.000 0.000 0.425 La
0.500 0.500 0.750 Sr
0.500 0.500 0.250 Mn
```

No. 8
A plane-wave DFT calculation with PBE-GGA was carried out for a relaxed structure of AlZnSi2.

Computed properties:
VASP energy = -3.68 eV/atom
Fermi-level density of states = 1.7 states/eV/f.u.
crystal system = trigonal
distance to the lowest polymorph of the same formula = 61 meV/atom

Structure (POSCAR):
```
AlZnSi2
1.0
-7.787 -4.148 -5.220
-5.827 -5.571 -6.333
-6.929 -6.382 -4.045
Zn Si Al
1 2 1
direct
0.250 0.250 0.250 Zn
0.003 0.003 0.003 Si
0.497 0.497 0.497 Si
0.750 0.750 0.750 Al
```